1.
Material: La4Pr5Er4
Method: DFT, PBE
State: relaxed

Unit cell a=13.195 b=13.195 c=5.194 alpha=90.00 beta=90.00 gamma=90.00
Space group I4/m (No. 87)
One atom of each set of equivalent atoms:
La1 0.077 0.383 0.000
Pr1 0.000 0.000 0.000
Pr2 0.043 0.191 0.500
Er1 0.154 0.768 0.000

Summary:
Formation enthalpy at 0 K   0.02 eV/atom
Crystal system   tetragonal

2.
Material: Na3Tl3Sn8
Method: DFT, PBE
State: relaxed

Unit cell a=5.452 b=12.091 c=12.395 alpha=90.00 beta=90.00 gamma=90.00
Space group Immm (No. 71)
One atom of each set of equivalent atoms:
Na1 0.000 0.000 0.000
Na2 0.000 0.277 0.000
Tl1 0.000 0.000 0.500
Tl2 0.000 0.500 0.150
Sn1 0.000 0.135 0.254
Sn2 0.000 0.360 0.375

Summary:
Formation enthalpy at 0 K   -0.05 eV/atom
Crystal system   orthorhombic

3.
Material: AcLaGaPd
Method: DFT, PBE
State: relaxed

Unit cell a=4.567 b=4.600 c=10.766 alpha=90.00 beta=90.00 gamma=90.00
Space group Amm2 (No. 38)
One atom of each set of equivalent atoms:
Ac1 0.000 0.000 0.000
La1 0.500 0.000 0.287
Ga1 0.500 0.000 0.584
Pd1 0.000 0.000 0.715

Summary:
Formation enthalpy at 0 K   -0.64 eV/atom
Crystal system   orthorhombic
Distance to the lowest polymorph of the same formula   0 meV/atom

4.
Material: LaLuAg2
Method: DFT, PBE
State: relaxed

Unit cell a=3.615 b=3.615 c=7.659 alpha=90.00 beta=90.00 gamma=90.00
Space group P4/mmm (No. 123)
One atom of each set of equivalent atoms:
La1 0.000 0.000 0.000
Lu1 0.000 0.000 0.500
Ag1 0.500 0.500 0.284

Summary:
Formation enthalpy at 0 K   -0.30 eV/atom
Crystal system   tetragonal
Distance to the lowest polymorph of the same formula   0 meV/atom

5.
Material: CeBr2Cl2
Method: DFT, PBE
State: relaxed

Unit cell a=8.997 b=9.658 c=4.381 alpha=90.00 beta=90.00 gamma=90.00
Space group Cmmm (No. 65)
One atom of each set of equivalent atoms:
Ce1 0.000 0.000 0.000
Br1 0.210 0.000 0.500
Cl1 0.000 0.261 0.000

Summary:
Crystal system   orthorhombic
Formation energy without anion corrections   -823 kJ/mol of formula units
Distance to the lowest polymorph of the same formula   0 meV/atom

6.
Material: La4Nd2Dy5
Method: DFT, PBE
State: relaxed

Unit cell a=19.422 b=5.781 c=6.751 alpha=90.00 beta=90.80 gamma=90.00
Space group C2/m (No. 12)
One atom of each set of equivalent atoms:
La1 0.020 0.000 0.290
La2 0.194 0.500 0.079
Nd1 0.099 0.500 0.556
Dy1 0.000 0.500 0.000
Dy2 0.131 0.000 0.887
Dy3 0.210 0.000 0.403

Summary:
Formation enthalpy at 0 K   0.09 eV/atom
Crystal system   monoclinic

7.
Material: NdPaC2
Method: DFT, PBE
State: relaxed

Unit cell a=6.256 b=3.612 c=6.254 alpha=90.00 beta=90.07 gamma=90.00
Space group C2/m (No. 12)
One atom of each set of equivalent atoms:
Nd1 0.000 0.000 0.000
Pa1 0.000 0.000 0.500
C1 0.167 0.500 0.290

Summary:
Formation enthalpy at 0 K   0.03 eV/atom
Crystal system   monoclinic
Distance to the lowest polymorph of the same formula   295 meV/atom

8.
Material: PrDyGaOs
Method: DFT, PBE
State: relaxed

Unit cell a=7.121 b=7.121 c=7.121 alpha=90.00 beta=90.00 gamma=90.00
Space group F-43m (No. 216)
One atom of each set of equivalent atoms:
Pr1 0.000 0.000 0.000
Dy1 0.000 0.000 0.500
Ga1 0.250 0.250 0.250
Os1 0.250 0.250 0.750

Summary:
Formation enthalpy at 0 K   -0.23 eV/atom
Crystal system   cubic

Going through the records in order, we get spin magnetization values of 0.000; 0.000; 0.001; 0.003; 0.000; 0.000; 0.000; 0.000 μB per formula unit.